A PBEsol-optimized structure of La3TaO7. Source: Alexandria, functional SCAN.

Output
The space group is Cmmm. For the magnetization, the calculation gives 0.00 μB per atom. The value obtained for the formation energy (no corrections) is -3.65 eV/atom. For the density, the calculation gives 7.13 g/cm3. As for the density of states at the Fermi level: 0.00 states/eV/f.u. For the energy relative to the lowest polymorph listed for this composition, the calculation gives 25.6 meV/atom. The total energy comes out at -25.424 eV/atom.

```
La3TaO7
1.0
3.941 0.000 0.000
0.000 6.699 -0.028
0.000 -2.354 6.272
O La Ta
7 3 1
Cartesian
1.970 2.173 3.122 O
0.000 0.213 2.694 O
1.970 5.525 0.789 O
0.000 4.132 3.550 O
1.970 -1.180 5.455 O
0.000 1.893 5.108 O
0.000 2.452 1.136 O
1.970 3.349 -0.014 La
0.000 0.000 0.000 La
1.970 -1.177 3.136 La
0.000 2.173 3.122 Ta
```


A PBEsol-optimized structure of LaTaO4. Source: Alexandria, functional SCAN.

Output
The space group is P2_1/c. For the magnetization, the calculation gives 0.00 μB per atom. The value obtained for the formation energy (no corrections) is -3.52 eV/atom. For the density, the calculation gives 7.92 g/cm3. As for the density of states at the Fermi level: 0.00 states/eV/f.u. The total energy comes out at -25.956 eV/atom.

```
LaTaO4
1.0
5.527 0.000 0.000
0.000 7.625 0.005
0.000 -1.485 7.642
O Ta La
16 4 4
Cartesian
0.055 4.106 4.862 O
0.891 4.942 7.237 O
4.637 1.198 0.409 O
5.056 6.770 2.254 O
2.689 3.719 5.100 O
2.838 2.421 2.547 O
2.292 0.112 1.572 O
3.235 6.028 6.075 O
1.873 5.685 3.416 O
0.075 4.461 1.279 O
2.819 1.292 6.606 O
5.472 2.034 2.785 O
5.453 1.679 6.368 O
3.654 0.455 4.230 O
2.708 4.848 1.041 O
0.471 -0.630 5.393 O
4.239 0.083 6.131 Ta
1.475 5.315 5.337 Ta
4.052 0.825 2.310 Ta
1.289 6.057 1.516 Ta
4.020 4.384 3.073 La
1.507 1.755 4.574 La
4.271 3.642 6.894 La
1.256 2.498 0.753 La
```


A PBEsol-optimized structure of LaTaO4. Source: Alexandria, functional SCAN.

Output
The space group is Pbca. For the magnetization, the calculation gives 0.00 μB per atom. The value obtained for the formation energy (no corrections) is -3.50 eV/atom. For the density, the calculation gives 7.76 g/cm3. As for the density of states at the Fermi level: 0.00 states/eV/f.u. The total energy comes out at -25.936 eV/atom.

```
LaTaO4
1.0
7.530 0.000 0.000
0.000 7.894 0.000
0.000 0.000 11.048
La Ta O
8 8 32
Cartesian
2.054 4.965 10.738 La
5.476 1.018 5.834 La
1.711 2.929 5.214 La
5.476 2.929 0.310 La
5.819 6.876 0.310 La
2.054 6.876 5.214 La
5.819 4.965 5.834 La
1.711 1.018 10.738 La
3.753 2.983 8.259 Ta
3.777 4.911 2.789 Ta
7.518 0.964 2.789 Ta
3.753 0.964 2.735 Ta
7.518 2.983 8.313 Ta
3.777 6.930 8.313 Ta
0.012 4.911 2.735 Ta
0.012 6.930 8.259 Ta
3.873 2.949 2.547 O
6.934 7.058 6.437 O
5.645 2.956 8.939 O
7.030 2.846 6.376 O
0.596 0.836 4.612 O
0.596 3.111 10.136 O
5.645 0.991 3.415 O
5.651 6.903 8.939 O
4.265 6.793 6.376 O
0.500 6.793 10.196 O
3.265 1.101 4.672 O
7.422 6.896 2.547 O
4.265 5.048 0.852 O
1.885 4.938 2.109 O
3.265 2.846 10.196 O
1.880 2.956 7.633 O
1.885 6.903 7.633 O
6.934 4.783 0.913 O
3.169 7.058 10.136 O
7.422 4.945 8.071 O
0.500 5.048 4.672 O
0.108 0.998 8.501 O
3.873 0.998 8.071 O
4.361 0.836 0.913 O
1.880 0.991 2.109 O
4.361 3.111 6.437 O
5.651 4.938 3.415 O
7.030 1.101 0.852 O
3.657 6.896 2.977 O
3.657 4.945 8.501 O
0.108 2.949 2.977 O
3.169 4.783 4.612 O
```


A PBEsol-optimized structure of LaTa3O9. Source: Alexandria, functional SCAN.

Output
The space group is Pnma. For the magnetization, the calculation gives 0.00 μB per atom. The value obtained for the formation energy (no corrections) is -3.28 eV/atom. For the density, the calculation gives 8.72 g/cm3. As for the density of states at the Fermi level: 0.00 states/eV/f.u. For the energy relative to the lowest polymorph listed for this composition, the calculation gives 0.0 meV/atom. The total energy comes out at -26.278 eV/atom.

```
LaTa3O9
1.0
-0.625 6.118 2.240
-5.128 1.499 -5.525
-9.240 -3.715 7.568
O Ta La
36 12 4
Cartesian
-11.670 2.472 3.484 O
-10.633 0.173 4.343 O
-2.014 3.043 2.467 O
-3.253 -0.639 2.619 O
-4.542 4.124 2.662 O
-3.322 1.430 0.799 O
-4.801 6.186 0.417 O
-9.394 3.856 4.192 O
-6.210 2.436 0.707 O
-7.842 0.083 1.664 O
-4.359 3.729 -0.060 O
-12.004 1.594 5.937 O
-2.988 2.308 -1.654 O
-14.289 2.262 3.476 O
-7.672 -1.008 4.174 O
-2.065 6.023 0.878 O
-6.576 0.821 5.954 O
-7.008 6.832 -1.961 O
-9.298 1.523 6.370 O
-7.321 4.910 0.109 O
-5.599 0.046 0.091 O
-4.866 3.152 5.080 O
-10.126 0.751 -0.797 O
-5.695 2.379 -2.087 O
-7.151 3.819 2.619 O
-8.417 3.081 -1.671 O
-10.192 -2.284 3.866 O
-12.928 -2.121 3.405 O
-12.979 0.859 1.816 O
-10.451 -0.222 1.621 O
-7.984 -2.930 6.244 O
-5.977 1.266 3.218 O
-11.740 4.541 1.664 O
-9.016 2.636 1.065 O
-8.783 1.466 3.576 O
-0.704 1.640 0.807 O
0.000 0.000 0.000 Ta
-4.932 1.201 4.904 Ta
-2.564 0.750 -2.762 Ta
-10.255 2.203 4.794 Ta
-7.496 1.951 2.141 Ta
-7.279 2.442 -3.249 Ta
-7.714 1.460 7.532 Ta
-6.750 -1.337 5.878 Ta
-4.738 1.699 -0.511 Ta
-8.243 5.239 -1.595 Ta
-9.291 -0.594 3.140 Ta
-5.702 4.496 1.143 Ta
-1.859 3.650 0.043 La
-13.134 0.252 4.240 La
-9.292 4.981 1.958 La
-5.701 -1.079 2.325 La
```


A PBEsol-optimized structure of La3TaO. Source: Alexandria, functional SCAN.

Output
The space group is Pm-3m. For the magnetization, the calculation gives 0.00 μB per atom. The value obtained for the formation energy (no corrections) is -0.91 eV/atom. For the density, the calculation gives 8.51 g/cm3. As for the density of states at the Fermi level: 5.42 states/eV/f.u. The total energy comes out at -41.333 eV/atom.

```
La3TaO
1.0
-4.358 -0.054 2.301
-1.885 -2.744 -3.634
1.321 -4.093 2.406
Ta La O
1 3 1
Cartesian
-2.460 -3.446 0.536 Ta
-2.179 -0.027 1.151 La
0.661 -2.047 1.203 La
-0.942 -1.372 -1.817 La
0.000 0.000 0.000 O
```


A PBEsol-optimized structure of La3TaO7. Source: Alexandria, functional SCAN.

Output
The space group is Cmcm. For the magnetization, the calculation gives 0.00 μB per atom. The value obtained for the formation energy (no corrections) is -3.68 eV/atom. For the density, the calculation gives 7.31 g/cm3. As for the density of states at the Fermi level: 0.00 states/eV/f.u. For the energy relative to the lowest polymorph listed for this composition, the calculation gives 0.0 meV/atom. The total energy comes out at -25.450 eV/atom.

```
La3TaO7
1.0
6.702 -0.027 0.000
-2.480 6.226 0.000
0.000 0.000 7.740
O La Ta
14 6 2
Cartesian
-1.185 5.569 5.805 O
0.171 2.719 0.259 O
2.468 1.155 0.259 O
1.754 5.043 4.129 O
4.050 3.479 4.129 O
5.616 0.937 5.805 O
1.754 5.043 7.481 O
0.171 2.719 3.611 O
5.406 0.629 1.935 O
2.468 1.155 3.611 O
-1.394 5.261 1.935 O
1.840 2.702 5.805 O
4.050 3.479 7.481 O
2.382 3.497 1.935 O
0.000 0.000 3.870 La
0.880 5.765 1.935 La
0.000 0.000 0.000 La
-0.821 3.268 5.805 La
3.342 0.433 5.805 La
5.043 2.930 1.935 La
2.111 3.099 3.870 Ta
2.111 3.099 0.000 Ta
```


A PBEsol-optimized structure of La3TaTi2O11. Source: Alexandria, functional SCAN.

Output
The space group is Pmc2_1. For the magnetization, the calculation gives 0.00 μB per atom. The value obtained for the formation energy (no corrections) is -3.61 eV/atom. For the density, the calculation gives 6.62 g/cm3. As for the density of states at the Fermi level: 0.00 states/eV/f.u. The total energy comes out at -21.051 eV/atom.

```
La3TaTi2O11
1.0
3.920 0.000 0.000
0.000 5.544 0.000
0.000 0.000 20.078
O Ti La Ta
22 4 6 2
Cartesian
1.960 2.842 9.760 O
0.000 1.311 13.931 O
1.960 3.118 4.449 O
0.000 3.185 17.139 O
1.960 0.245 4.887 O
1.960 1.389 1.299 O
0.000 3.079 2.437 O
1.960 0.070 10.319 O
0.000 0.413 2.939 O
1.960 3.017 15.191 O
1.960 0.346 15.629 O
0.000 0.307 17.641 O
0.000 4.083 6.147 O
1.960 5.184 13.007 O
0.000 1.204 8.792 O
0.000 5.207 0.457 O
1.960 4.161 18.779 O
1.960 2.412 7.071 O
0.000 3.976 11.286 O
1.960 5.123 7.706 O
0.000 2.435 19.621 O
1.960 2.351 12.372 O
1.960 1.356 8.521 Ti
1.960 4.307 5.917 Ti
1.960 1.535 14.161 Ti
1.960 4.128 11.557 Ti
0.000 1.783 4.861 La
1.960 4.602 2.543 La
0.000 4.555 15.217 La
0.000 4.106 8.693 La
1.960 1.830 17.535 La
0.000 1.334 11.385 La
0.000 1.574 1.266 Ta
0.000 4.346 18.812 Ta
```


A PBEsol-optimized structure of La2Te4O11. Source: Alexandria, functional SCAN.

Output
The space group is C2/c. For the magnetization, the calculation gives 0.00 μB per atom. The value obtained for the formation energy (no corrections) is -2.02 eV/atom. For the density, the calculation gives 6.10 g/cm3. As for the density of states at the Fermi level: 0.00 states/eV/f.u. The total energy comes out at -19.888 eV/atom.

```
La2Te4O11
1.0
-1.318 -3.363 -3.830
4.805 -0.442 -4.884
7.906 -13.023 5.097
La O Te
4 22 8
Cartesian
10.315 -15.782 -2.314 La
1.078 -1.046 -1.303 La
6.790 -9.422 -3.067 La
4.603 -7.407 -0.550 La
6.768 -13.154 2.646 O
4.977 -7.477 -3.043 O
10.607 -11.464 -0.417 O
6.840 -6.352 -1.270 O
7.721 -7.297 -3.777 O
8.925 -9.212 -1.694 O
9.378 -13.318 1.521 O
0.787 -5.364 -3.200 O
4.442 -6.492 -5.697 O
4.625 -3.674 -6.263 O
4.104 -5.106 -0.950 O
2.469 -7.616 -1.923 O
7.391 -15.192 0.817 O
6.417 -9.351 -0.574 O
2.016 -3.511 -5.138 O
4.002 -1.637 -4.434 O
3.672 -9.531 0.160 O
4.553 -10.477 -2.347 O
7.289 -11.722 -2.667 O
6.951 -10.336 2.080 O
9.015 -13.861 -1.261 O
2.378 -2.968 -2.356 O
1.011 -4.722 -1.472 Te
7.952 -13.469 0.285 Te
7.969 -9.919 0.383 Te
3.441 -3.359 -3.902 Te
10.382 -12.106 -2.145 Te
6.973 -5.720 -3.045 Te
4.421 -11.108 -0.573 Te
3.424 -6.909 -4.000 Te
```